Record 1
BaSb2Cl | Alexandria | PBE-GGA | optimized geometry; V = 33.11 Å³/atom; formation energy (no corrections) = -636 meV/atom; space-group type = Cmmm; final energy = -3.64 eV per atom; magnetization = 0.000 Bohr magnetons per cell; distance to the lowest polymorph of the same formula = 385 meV per atom
1.0
7.076 0.003 0.000
-4.614 5.365 0.000
0.000 0.000 3.487
Cl Sb Ba
1 2 1
direct
0.000 0.500 0.500
0.500 0.500 0.000
0.000 0.000 0.000
0.500 0.000 0.500



Record 2
AcPm6Si6 | Alexandria | PBE-GGA | optimized geometry; V = 24.48 Å³/atom; formation energy (no corrections) = -433 meV/atom; space-group type = Immm; final energy = -5.44 eV per atom; magnetization = 0.000 Bohr magnetons per cell
1.0
-4.144 -4.250 1.023
1.653 -6.764 -3.669
1.799 -4.537 6.174
Pm Si Ac
6 6 1
direct
0.000 0.329 0.671
0.660 0.340 0.340
0.677 0.823 0.823
0.340 0.660 0.660
0.323 0.177 0.177
0.000 0.671 0.329
0.500 0.242 0.758
0.500 0.758 0.242
0.500 0.500 0.000
0.000 0.500 0.000
0.000 0.000 0.500
0.500 0.000 0.500
0.000 0.000 0.000



Record 3
BaCd3Rh2 | Alexandria | PBE-GGA | optimized geometry; V = 24.23 Å³/atom; space-group type = C2/m; final energy = -3.40 eV per atom; ΔE_f = -0.1669 eV per atom; magnetization = 0.000 Bohr magnetons per cell
1.0
-3.109 -0.426 -3.266
7.481 -0.712 -3.888
-2.854 -7.367 3.677
Ba Cd Rh
2 6 4
direct
0.150 0.300 0.087
0.850 0.700 0.913
0.321 0.643 0.553
0.607 0.214 0.715
0.977 0.954 0.655
0.393 0.786 0.285
0.679 0.357 0.447
0.023 0.046 0.345
0.178 0.356 0.648
0.822 0.644 0.352
0.517 0.033 0.153
0.483 0.967 0.847